Record 1
Material: KNaSr8B6O18
Method: DFT, PBE-GGA
State: optimized geometry

- DOS(E_F) (states/eV/atom) = 0.00
- space group = Pm
- formation energy without anion corrections (eV per atom) = -2.7510

a b c (Å): 6.977 11.066 6.993
angles (deg): 90.00 119.63 90.00
Atoms (fractional coordinates):
K 0.000 0.000 0.000
Na 0.737 0.500 0.744
Sr 0.007 0.000 0.528
Sr 0.294 0.500 0.111
Sr 0.427 0.246 0.825
Sr 0.427 0.754 0.825
Sr 0.574 0.225 0.399
Sr 0.574 0.775 0.399
Sr 0.997 0.281 0.254
Sr 0.997 0.719 0.254
B 0.322 0.500 0.572
B 0.408 0.000 0.487
B 0.590 0.000 0.070
B 0.739 0.500 0.172
B 0.997 0.258 0.820
B 0.997 0.742 0.820
O 0.003 0.220 0.632
O 0.003 0.780 0.632
O 0.194 0.273 0.019
O 0.194 0.727 0.019
O 0.276 0.500 0.740
O 0.290 0.109 0.451
O 0.290 0.891 0.451
O 0.361 0.392 0.490
O 0.361 0.608 0.490
O 0.372 0.000 0.910
O 0.627 0.000 0.540
O 0.651 0.391 0.194
O 0.651 0.609 0.194
O 0.710 0.109 0.153
O 0.710 0.891 0.153
O 0.797 0.276 0.813
O 0.797 0.724 0.813
O 0.914 0.500 0.129

=====

Record 2
Material: K3Na9Sr4B20O40
Method: DFT, PBE-GGA
State: optimized geometry

- DOS(E_F) (states/eV/atom) = 0.00
- space group = P1
- formation energy without anion corrections (eV per atom) = -2.4465

a b c (Å): 7.448 9.887 13.760
angles (deg): 91.81 91.04 108.70
Atoms (fractional coordinates):
K 0.000 0.000 0.000
K 0.203 0.121 0.254
K 0.720 0.126 0.760
Na 0.072 0.678 0.884
Na 0.136 0.448 0.371
Na 0.260 0.723 0.124
Na 0.442 0.401 0.628
Na 0.508 0.020 0.524
Na 0.558 0.671 0.384
Na 0.651 0.455 0.872
Na 0.758 0.725 0.627
Na 0.942 0.400 0.135
Sr 0.038 0.778 0.412
Sr 0.175 0.352 0.845
Sr 0.546 0.779 0.910
Sr 0.659 0.338 0.349
B 0.225 0.184 0.487
B 0.243 0.854 0.690
B 0.303 0.111 0.749
B 0.307 0.699 0.550
B 0.327 0.478 0.036
B 0.387 0.654 0.719
B 0.405 0.425 0.203
B 0.419 0.024 0.005
B 0.462 0.921 0.272
B 0.485 0.285 0.059
B 0.721 0.836 0.198
B 0.741 0.200 0.983
B 0.783 0.097 0.250
B 0.801 0.694 0.056
B 0.824 0.478 0.535
B 0.880 0.644 0.223
B 0.893 0.018 0.506
B 0.913 0.432 0.702
B 0.975 0.281 0.559
B 0.983 0.930 0.769
O 0.047 0.830 0.719
O 0.081 0.049 0.470
O 0.116 0.070 0.787
O 0.166 0.295 0.524
O 0.245 0.810 0.586
O 0.272 0.565 0.979
O 0.280 0.660 0.456
O 0.280 0.892 0.293
O 0.304 0.485 0.138
O 0.305 0.888 0.994
O 0.324 0.764 0.754
O 0.361 0.006 0.701
O 0.365 0.133 0.050
O 0.399 0.634 0.617
O 0.401 0.375 0.998
O 0.406 0.202 0.466
O 0.409 0.446 0.299
O 0.415 0.247 0.761
O 0.444 0.570 0.778
O 0.498 0.334 0.163
O 0.529 0.815 0.233
O 0.595 0.061 0.286
O 0.606 0.060 0.968
O 0.678 0.305 0.025
O 0.708 0.786 0.095
O 0.759 0.560 0.478
O 0.773 0.885 0.497
O 0.797 0.671 0.960
O 0.804 0.898 0.797
O 0.807 0.749 0.260
O 0.811 0.493 0.638
O 0.839 0.989 0.206
O 0.846 0.131 0.550
O 0.895 0.373 0.498
O 0.897 0.233 0.261
O 0.903 0.636 0.121
O 0.920 0.227 0.955
O 0.928 0.463 0.797
O 0.934 0.557 0.280
O 0.993 0.333 0.662

=====

Record 3
Material: K2NaZnB5O10
Method: DFT, PBE-GGA
State: optimized geometry

- DOS(E_F) (states/eV/atom) = 0.00
- space group = C2/c
- formation energy without anion corrections (eV per atom) = -2.2819

a b c (Å): 7.690 7.690 19.682
angles (deg): 94.87 94.87 116.69
Atoms (fractional coordinates):
K 0.042 0.868 0.577
K 0.132 0.958 0.923
K 0.314 0.504 0.063
K 0.496 0.686 0.437
K 0.504 0.314 0.563
K 0.686 0.496 0.937
K 0.868 0.042 0.077
K 0.958 0.132 0.423
Na 0.143 0.857 0.250
Na 0.356 0.644 0.750
Na 0.644 0.356 0.250
Na 0.857 0.143 0.750
Zn 0.147 0.454 0.888
Zn 0.454 0.147 0.388
Zn 0.546 0.853 0.612
Zn 0.853 0.546 0.112
B 0.053 0.512 0.330
B 0.060 0.410 0.204
B 0.123 0.810 0.416
B 0.185 0.497 0.586
B 0.190 0.877 0.084
B 0.223 0.308 0.294
B 0.308 0.223 0.794
B 0.410 0.060 0.704
B 0.488 0.947 0.170
B 0.497 0.185 0.086
B 0.503 0.815 0.914
B 0.512 0.053 0.830
B 0.590 0.940 0.296
B 0.692 0.777 0.206
B 0.777 0.692 0.706
B 0.810 0.123 0.916
B 0.815 0.503 0.414
B 0.877 0.190 0.584
B 0.940 0.590 0.796
B 0.947 0.488 0.670
O 0.001 0.759 0.056
O 0.005 0.502 0.256
O 0.011 0.410 0.137
O 0.053 0.300 0.557
O 0.134 0.582 0.640
O 0.166 0.721 0.360
O 0.169 0.311 0.224
O 0.172 0.408 0.345
O 0.205 0.321 0.808
O 0.241 0.999 0.444
O 0.279 0.834 0.140
O 0.300 0.053 0.057
O 0.311 0.169 0.724
O 0.321 0.205 0.308
O 0.355 0.592 0.560
O 0.408 0.172 0.845
O 0.408 0.645 0.940
O 0.410 0.011 0.637
O 0.418 0.866 0.860
O 0.498 0.995 0.244
O 0.502 0.005 0.756
O 0.582 0.134 0.140
O 0.590 0.989 0.363
O 0.592 0.355 0.060
O 0.592 0.828 0.155
O 0.645 0.408 0.440
O 0.679 0.795 0.692
O 0.689 0.831 0.276
O 0.700 0.947 0.943
O 0.721 0.166 0.860
O 0.759 0.001 0.556
O 0.795 0.679 0.192
O 0.828 0.592 0.655
O 0.831 0.689 0.776
O 0.834 0.279 0.640
O 0.866 0.418 0.360
O 0.947 0.700 0.443
O 0.989 0.590 0.863
O 0.995 0.498 0.744
O 0.999 0.241 0.944

=====

Record 4
Material: K2NaBP2
Method: DFT, PBE-GGA
State: optimized geometry

- DOS(E_F) (states/eV/atom) = 0.00
- space group = C2/m

a b c (Å): 6.813 6.813 12.147
angles (deg): 118.37 118.37 43.14
Atoms (fractional coordinates):
K 0.017 0.017 0.179
K 0.177 0.177 0.591
K 0.823 0.823 0.409
K 0.983 0.983 0.821
Na 0.297 0.297 0.133
Na 0.703 0.703 0.867
B 0.500 0.500 0.000
B 0.500 0.500 0.500
P 0.337 0.337 0.912
P 0.468 0.468 0.627
P 0.532 0.532 0.373
P 0.663 0.663 0.088

=====

Record 5
Material: KNaB2Pd
Method: DFT, PBE-GGA
State: optimized geometry

- DOS(E_F) (states/eV/atom) = 0.25
- space group = P4/mmm

a b c (Å): 4.223 4.223 5.669
angles (deg): 90.00 90.00 90.00
Atoms (fractional coordinates):
K 0.000 0.000 0.000
Na 0.500 0.500 0.000
B 0.000 0.500 0.500
B 0.500 0.000 0.500
Pd 0.000 0.000 0.500

=====

Record 6
Material: KNaBPt2
Method: DFT, PBE-GGA
State: optimized geometry

- DOS(E_F) (states/eV/atom) = 0.26
- space group = P4/mmm

a b c (Å): 4.192 4.192 5.241
angles (deg): 90.00 90.00 90.00
Atoms (fractional coordinates):
K 0.000 0.000 0.000
Na 0.500 0.500 0.000
B 0.500 0.500 0.500
Pt 0.000 0.500 0.500
Pt 0.500 0.000 0.500

=====

Record 7
Material: KNaB2S4
Method: DFT, PBE-GGA
State: optimized geometry

- DOS(E_F) (states/eV/atom) = 0.00
- space group = I222
- formation energy without anion corrections (eV per atom) = -0.7215

a b c (Å): 6.664 6.664 6.664
angles (deg): 121.72 106.71 100.76
Atoms (fractional coordinates):
K 0.000 0.000 0.000
Na 0.500 0.500 0.000
B 0.290 0.790 0.500
B 0.710 0.210 0.500
S 0.146 0.980 0.554
S 0.426 0.593 0.446
S 0.574 0.020 0.166
S 0.854 0.407 0.834

=====

Record 8
Material: KNaSnB2
Method: DFT, PBE-GGA
State: optimized geometry

- DOS(E_F) (states/eV/atom) = 1.07
- space group = P4/mmm

a b c (Å): 5.235 5.235 6.041
angles (deg): 90.00 90.00 90.00
Atoms (fractional coordinates):
K 0.000 0.000 0.000
Na 0.500 0.500 0.500
Sn 0.000 0.000 0.500
B 0.000 0.500 0.000
B 0.500 0.000 0.000

=====

Record 9
Material: KNaB2Te
Method: DFT, PBE-GGA
State: optimized geometry

- DOS(E_F) (states/eV/atom) = 0.64
- space group = P4/mmm
- formation energy without anion corrections (eV per atom) = 1.9828

a b c (Å): 5.129 5.129 5.382
angles (deg): 90.00 90.00 90.00
Atoms (fractional coordinates):
K 0.000 0.000 0.000
Na 0.000 0.000 0.500
B 0.000 0.500 0.000
B 0.500 0.000 0.000
Te 0.500 0.500 0.500

=====

Record 10
Material: KNb3B
Method: DFT, PBE-GGA
State: optimized geometry

- DOS(E_F) (states/eV/atom) = 1.17
- space group = Pm-3m
- ΔE to the lowest computed polymorph (meV/atom) = 2317

a b c (Å): 4.526 4.526 4.526
angles (deg): 90.00 90.00 90.00
Atoms (fractional coordinates):
K 0.000 0.000 0.000
Nb 0.000 0.000 0.500
Nb 0.000 0.500 0.000
Nb 0.500 0.000 0.000
B 0.500 0.500 0.500

=====

Record 11
Material: KNbB2
Method: DFT, PBE-GGA
State: optimized geometry

- DOS(E_F) (states/eV/atom) = 0.89
- space group = Fm-3m
- ΔE to the lowest computed polymorph (meV/atom) = 616

a b c (Å): 4.386 4.386 4.386
angles (deg): 60.00 60.00 60.00
Atoms (fractional coordinates):
K 0.000 0.000 0.000
Nb 0.500 0.500 0.500
B 0.250 0.250 0.250
B 0.750 0.750 0.750

=====

Record 12
Material: KNbB3
Method: DFT, PBE-GGA
State: optimized geometry

- DOS(E_F) (states/eV/atom) = 0.48
- space group = Pm-3m
- ΔE to the lowest computed polymorph (meV/atom) = 0

a b c (Å): 4.457 4.457 4.457
angles (deg): 90.00 90.00 90.00
Atoms (fractional coordinates):
K 0.000 0.000 0.000
Nb 0.500 0.500 0.500
B 0.000 0.500 0.500
B 0.500 0.000 0.500
B 0.500 0.500 0.000

=====

What did we get for total energy? Answer: -7.021, -7.101, -6.901, -3.899, -3.322, -4.420, -4.757, -1.724, -1.800, -4.330, -4.391, -5.050 eV/atom, in the order shown.